# K2Zn3CrF12 (GGA+U, optimized geometry)
data_K2Zn3CrF12
_symmetry_space_group_name_H-M 'R -3 m'
_symmetry_Int_Tables_number 166
_symmetry_space_group_name_Hall '-R 3 2"'
_cell_length_a 7.2670
_cell_length_b 7.2670
_cell_length_c 18.6326
_cell_angle_alpha 90.00
_cell_angle_beta 90.00
_cell_angle_gamma 120.00
loop_
_atom_site_label
_atom_site_type_symbol
_atom_site_fract_x
_atom_site_fract_y
_atom_site_fract_z
K1 K 0.0000 0.0000 0.1064
Zn1 Zn 0.0000 0.5000 0.0000
Cr1 Cr 0.0000 0.0000 0.5000
F1 F 0.0631 0.5315 0.3593
F2 F 0.0818 0.5409 0.1101
# Crystal system   trigonal
# Total energy   -4.44 eV per atom
# Density of states at the Fermi level   29.0 states/eV per cell
# Theoretical density   3.24 Mg/m³